DFT (PBE) results for a relaxed structure of Th2GaNi12H3.

Its crystal system is trigonal. The space group is R-3m. The electronic total energy comes out at -100.375 eV/cell. Its density of states at the Fermi level is 8.63 states/eV/cell.

extended XYZ file:
```
18
Lattice="3.265 1.885 5.897 -3.265 1.885 5.897 0.000 -3.770 5.897" Properties=species:S:1:pos:R:3 pbc="T T T"
Th 0.000 0.000 1.797
Th 0.000 0.000 15.895
Ga 0.000 0.000 8.846
Ni -1.933 -1.116 7.784
Ni 0.000 -1.415 6.117
Ni -1.226 0.708 6.117
Ni 0.000 -2.232 9.908
Ni -1.933 1.116 9.908
Ni -1.226 -0.708 11.575
Ni 1.226 0.708 6.117
Ni 1.933 -1.116 7.784
Ni 0.000 2.232 7.784
Ni 1.226 -0.708 11.575
Ni 0.000 1.415 11.575
Ni 1.933 1.116 9.908
H -1.632 -0.942 5.897
H -1.632 0.942 11.795
H 0.000 1.885 5.897
```

DFT (PBE) results for a relaxed structure of Ti2GaNiH.

Its crystal system is tetragonal. The space group is P4/mmm. The electronic total energy comes out at -30.139 eV/cell. Its density of states at the Fermi level is 5.43 states/eV/cell.

extended XYZ file:
```
5
Lattice="4.023 0.000 0.000 0.000 4.023 0.000 0.000 0.000 3.710" Properties=species:S:1:pos:R:3 pbc="T T T"
Ti 0.000 2.011 0.000
Ti 2.011 0.000 0.000
Ga 0.000 0.000 1.855
Ni 2.011 2.011 1.855
H 2.011 2.011 0.000
```